Entry 1:
Here is an optimized crystal structure of SrLi2Mg2 from the Alexandria database. Energies are from GGA-PBE.

Values from the calculation:
Formation energy, eV per atom: 0.04
Energy above the most stable polymorph in this dataset, meV/atom: 60.3
Size of the total moment, μB/f.u.: 0.00
DOS(E_F), states/eV/cell: 3.881
DFT total energy, eV/atom: -1.70

Cell: 4.630 4.630 7.577 Å, 72.21 72.21 90.00°
Element x y z (fractional)
Mg  0.611  0.611  0.777
Sr  0.000  0.000  0.000
Li  0.750  0.250  0.500
Li  0.250  0.750  0.500
Mg  0.389  0.389  0.223

Entry 2:
Here is an optimized crystal structure of NdHoTh from the Alexandria database. Energies are from GGA-PBE.

Values from the calculation:
Formation energy, eV per atom: 0.17
Energy above the most stable polymorph in this dataset, meV/atom: 146.1
Size of the total moment, μB/f.u.: 0.00
DOS(E_F), states/eV/cell: 19.434
DFT total energy, eV/atom: -5.42

Cell: 6.656 6.899 8.933 Å, 90.00 102.48 90.01°
Element x y z (fractional)
Ho  0.364  0.898  0.325
Nd  0.659  0.600  0.665
Th  0.416  0.220  0.003
Nd  0.341  0.400  0.335
Ho  0.864  0.602  0.325
Th  0.916  0.280  0.003
Ho  0.636  0.102  0.675
Ho  0.136  0.398  0.675
Nd  0.841  0.100  0.335
Nd  0.159  0.900  0.665
Th  0.584  0.780  0.997
Th  0.084  0.720  0.997

Entry 3:
Here is an optimized crystal structure of SrAgSnSe3 from the Alexandria database. Energies are from GGA-PBE.

Values from the calculation:
Size of the total moment, μB/f.u.: 0.00
DOS(E_F), states/eV/cell: 8.431
DFT total energy, eV/atom: -3.96
Formation energy from raw total energies, eV/atom: -0.7952

Cell: 4.232 8.525 9.201 Å, 103.16 90.00 90.00°
Element x y z (fractional)
Se  0.250  0.101  0.886
Se  0.750  0.256  0.522
Sr  0.250  0.194  0.250
Sr  0.750  0.806  0.750
Se  0.250  0.564  0.836
Se  0.250  0.744  0.478
Se  0.750  0.436  0.164
Se  0.750  0.899  0.114
Ag  0.250  0.079  0.589
Sn  0.250  0.672  0.149
Ag  0.750  0.921  0.411
Sn  0.750  0.328  0.851

Entry 4:
Here is an optimized crystal structure of Th2HSe from the Alexandria database. Energies are from GGA-PBE.

Values from the calculation:
Energy above the most stable polymorph in this dataset, meV/atom: 226.9
Size of the total moment, μB/f.u.: 0.76
DOS(E_F), states/eV/cell: 4.024
DFT total energy, eV/atom: -6.03

Cell: 3.671 3.671 7.995 Å, 76.73 76.73 60.00°
Last column: magnetic moment on the atom in μB.
Element x y z (fractional)
Th  0.095  0.095  0.715  0.22
Se  0.670  0.670  0.989  0.00
Th  0.245  0.245  0.265  0.23
H  0.490  0.490  0.531  0.00

Entry 5:
Here is an optimized crystal structure of SrCuBr6 from the Alexandria database. Energies are from GGA-PBE.

Values from the calculation:
Size of the total moment, μB/f.u.: 0.69
DOS(E_F), states/eV/cell: 3.804
DFT total energy, eV/atom: -2.81
Formation energy from raw total energies, eV/atom: -0.8289

Cell: 9.033 11.683 5.055 Å, 97.88 103.83 37.96°
Last column: magnetic moment on the atom in μB.
Element x y z (fractional)
Cu  0.000  0.000  0.000  0.30
Br  0.329  0.845  0.397  0.08
Sr  0.500  0.500  0.500  0.00
Br  0.860  0.283  0.082  0.08
Br  0.012  0.515  0.260  -0.01
Br  0.671  0.155  0.603  0.08
Br  0.140  0.717  0.918  0.08
Br  0.988  0.485  0.740  -0.01

Entry 6:
Here is an optimized crystal structure of ZrMn2Re from the Alexandria database. Energies are from GGA-PBE.

Values from the calculation:
Formation energy, eV per atom: 0.04
Energy above the most stable polymorph in this dataset, meV/atom: 3.1
Size of the total moment, μB/f.u.: 0.00
DOS(E_F), states/eV/cell: 3.772
DFT total energy, eV/atom: -9.79

Cell: 4.326 4.326 4.326 Å, 60.00 60.00 60.00°
Element x y z (fractional)
Mn  0.250  0.250  0.250
Mn  0.750  0.750  0.750
Zr  0.000  0.000  0.000
Re  0.500  0.500  0.500

Entry 7:
Here is an optimized crystal structure of Li2GaAg7Sb2 from the Alexandria database. Energies are from GGA-PBE.

Values from the calculation:
Size of the total moment, μB/f.u.: 0.00
DOS(E_F), states/eV/cell: 4.511
DFT total energy, eV/atom: -3.00
Formation energy from raw total energies, eV/atom: -0.0780

Cell: 4.163 4.163 14.461 Å, 73.45 73.45 90.80°
Element x y z (fractional)
Li  0.188  0.188  0.313
Ag  0.500  0.500  0.000
Ga  0.000  0.000  0.000
Ag  0.245  0.245  0.500
Li  0.812  0.812  0.687
Ag  0.156  0.656  0.844
Ag  0.656  0.156  0.844
Ag  0.844  0.344  0.156
Ag  0.755  0.755  0.500
Ag  0.344  0.844  0.156
Sb  0.687  0.687  0.314
Sb  0.313  0.313  0.686

Entry 8:
Here is an optimized crystal structure of VCd2HgI from the Alexandria database. Energies are from GGA-PBE.

Values from the calculation:
Size of the total moment, μB/f.u.: 4.00
DOS(E_F), states/eV/cell: 4.603
DFT total energy, eV/atom: -1.82
Formation energy from raw total energies, eV/atom: 0.7375

Cell: 7.500 5.189 7.500 Å, 90.00 90.00 90.00°
Last column: magnetic moment on the atom in μB.
Element x y z (fractional)
V  0.000  0.500  0.000  3.13
I  0.000  0.000  0.000  -0.07
Hg  0.500  0.500  0.500  0.01
Cd  0.000  0.000  0.500  0.01
Cd  0.500  0.000  0.000  0.00

Entry 9:
Here is an optimized crystal structure of Ag2HgOs from the Alexandria database. Energies are from GGA-PBE.

Values from the calculation:
Formation energy, eV per atom: 0.59
Size of the total moment, μB/f.u.: 0.00
DOS(E_F), states/eV/cell: 1.863
DFT total energy, eV/atom: -3.71

Cell: 2.800 5.071 5.931 Å, 56.13 90.00 90.00°
Element x y z (fractional)
Ag  0.500  0.500  0.000
Hg  0.500  0.500  0.500
Os  0.000  0.000  0.500
Ag  0.000  0.000  0.000

Entry 10:
Here is an optimized crystal structure of CaScSb2 from the Alexandria database. Energies are from GGA-PBE.

Values from the calculation:
Energy above the most stable polymorph in this dataset, meV/atom: 651.8
Size of the total moment, μB/f.u.: 0.00
DOS(E_F), states/eV/cell: 4.569
DFT total energy, eV/atom: -4.34
Formation energy from raw total energies, eV/atom: -0.1925

Cell: 5.322 5.322 5.322 Å, 60.00 60.00 60.00°
Element x y z (fractional)
Sb  0.000  0.000  0.000
Sb  0.250  0.250  0.250
Sc  0.750  0.750  0.750
Ca  0.500  0.500  0.500

Entry 11:
Here is an optimized crystal structure of K3Cd7Pt4 from the Alexandria database. Energies are from GGA-PBE.

Values from the calculation:
Formation energy, eV per atom: -0.19
Size of the total moment, μB/f.u.: 0.00
DOS(E_F), states/eV/cell: 4.939
DFT total energy, eV/atom: -2.61

Cell: 4.633 8.982 9.148 Å, 70.95 75.33 75.06°
Element x y z (fractional)
Cd  0.836  0.410  0.918
Pt  0.333  0.559  0.775
K  0.000  0.500  0.500
Pt  0.667  0.441  0.225
Pt  0.108  0.106  0.678
Pt  0.892  0.894  0.322
Cd  0.000  0.000  0.000
Cd  0.309  0.852  0.529
Cd  0.691  0.148  0.471
Cd  0.164  0.590  0.082
K  0.687  0.818  0.807
Cd  0.493  0.241  0.773
K  0.313  0.182  0.193
Cd  0.507  0.759  0.227